# Nd3Ga6Rh5 PBE relaxed
# Space group: Pmmn (59)
# V: 18.5 Å³/atom
# Magnetization: 0.0 μB/f.u.
# E_tot: -159.57 eV for the cell shown
# Mass density: 8.8 g/cm³
data_Nd3Ga6Rh5
_cell_length_a 4.2757
_cell_length_b 12.8454
_cell_length_c 9.4277
_cell_angle_alpha 90.00
_cell_angle_beta 90.00
_cell_angle_gamma 90.00
_space_group_name_H-M_alt 'P 1'
_space_group_IT_number 1
_space_group_name_Hall 'P 1'
loop_
_atom_site_label
_atom_site_type_symbol
_atom_site_fract_x
_atom_site_fract_y
_atom_site_fract_z
_atom_site_occupancy
Nd1 Nd 0.2500 0.0575 0.2474 1
Nd2 Nd 0.2500 0.4425 0.2474 1
Nd3 Nd 0.2500 0.7500 0.2426 1
Nd4 Nd 0.7500 0.2500 0.7574 1
Nd5 Nd 0.7500 0.5575 0.7526 1
Nd6 Nd 0.7500 0.9425 0.7526 1
Ga1 Ga 0.2500 0.0701 0.9056 1
Ga2 Ga 0.2500 0.2500 0.0638 1
Ga3 Ga 0.2500 0.2500 0.4657 1
Ga4 Ga 0.2500 0.4299 0.9056 1
Ga5 Ga 0.2500 0.5993 0.5192 1
Ga6 Ga 0.2500 0.9007 0.5192 1
Ga7 Ga 0.7500 0.0993 0.4808 1
Ga8 Ga 0.7500 0.4007 0.4808 1
Ga9 Ga 0.7500 0.5701 0.0944 1
Ga10 Ga 0.7500 0.7500 0.5343 1
Ga11 Ga 0.7500 0.7500 0.9362 1
Ga12 Ga 0.7500 0.9299 0.0944 1
Rh1 Rh 0.2500 0.0887 0.6275 1
Rh2 Rh 0.2500 0.4113 0.6275 1
Rh3 Rh 0.2500 0.6372 0.9663 1
Rh4 Rh 0.2500 0.7500 0.7064 1
Rh5 Rh 0.2500 0.8628 0.9663 1
Rh6 Rh 0.7500 0.1372 0.0337 1
Rh7 Rh 0.7500 0.2500 0.2936 1
Rh8 Rh 0.7500 0.3628 0.0337 1
Rh9 Rh 0.7500 0.5887 0.3725 1
Rh10 Rh 0.7500 0.9113 0.3725 1


# Hf2HgSb PBE relaxed
# Space group: R3m (160)
# Raw formation energy: 0.011 eV per atom
# V: 24.0 Å³/atom
# Magnetization: 0.0 μB/f.u.
# Mass density: 11.8 g/cm³
data_Hf2HgSb
_cell_length_a 3.7536
_cell_length_b 3.7536
_cell_length_c 23.5946
_cell_angle_alpha 90.00
_cell_angle_beta 90.00
_cell_angle_gamma 120.00
_space_group_name_H-M_alt 'P 1'
_space_group_IT_number 1
_space_group_name_Hall 'P 1'
loop_
_atom_site_label
_atom_site_type_symbol
_atom_site_fract_x
_atom_site_fract_y
_atom_site_fract_z
_atom_site_occupancy
Hf1 Hf 0.0000 0.0000 0.0000 1
Hf2 Hf 0.0000 0.0000 0.1740 1
Hf3 Hf 0.3333 0.6667 0.6667 1
Hf4 Hf 0.3333 0.6667 0.8406 1
Hf5 Hf 0.6667 0.3333 0.3333 1
Hf6 Hf 0.6667 0.3333 0.5073 1
Hg1 Hg 0.0000 0.0000 0.4188 1
Hg2 Hg 0.3333 0.6667 0.0855 1
Hg3 Hg 0.6667 0.3333 0.7522 1
Sb1 Sb 0.0000 0.0000 0.5875 1
Sb2 Sb 0.3333 0.6667 0.2542 1
Sb3 Sb 0.6667 0.3333 0.9209 1


# BCl PBE relaxed
# Space group: Pmn2_1 (31)
# Raw formation energy: 0.015 eV per atom
# V: 30.9 Å³/atom
# Magnetization: 0.0 μB/f.u.
# Mass density: 1.2 g/cm³
data_BCl
_cell_length_a 9.9868
_cell_length_b 4.4984
_cell_length_c 8.2470
_cell_angle_alpha 90.00
_cell_angle_beta 90.00
_cell_angle_gamma 90.00
_space_group_name_H-M_alt 'P 1'
_space_group_IT_number 1
_space_group_name_Hall 'P 1'
loop_
_atom_site_label
_atom_site_type_symbol
_atom_site_fract_x
_atom_site_fract_y
_atom_site_fract_z
_atom_site_occupancy
B1 B 0.0000 0.2440 0.0000 1
B2 B 0.1248 0.0362 0.9800 1
B3 B 0.3752 0.9638 0.4800 1
B4 B 0.5000 0.7560 0.5000 1
B5 B 0.6248 0.9638 0.4800 1
B6 B 0.8752 0.0362 0.9800 1
Cl1 Cl 0.0000 0.6409 0.0604 1
Cl2 Cl 0.2154 0.0725 0.4386 1
Cl3 Cl 0.2846 0.9275 0.9386 1
Cl4 Cl 0.5000 0.3591 0.5604 1
Cl5 Cl 0.7154 0.9275 0.9386 1
Cl6 Cl 0.7846 0.0725 0.4386 1


# Ca2C PBE relaxed
# Space group: P-62m (189)
# V: 19.5 Å³/atom
# Magnetization: 0.0 μB/f.u.
# E_tot: -35.59 eV for the cell shown
# Mass density: 2.6 g/cm³
data_Ca2C
_cell_length_a 6.8556
_cell_length_b 6.8556
_cell_length_c 4.3095
_cell_angle_alpha 90.00
_cell_angle_beta 90.00
_cell_angle_gamma 120.00
_space_group_name_H-M_alt 'P 1'
_space_group_IT_number 1
_space_group_name_Hall 'P 1'
loop_
_atom_site_label
_atom_site_type_symbol
_atom_site_fract_x
_atom_site_fract_y
_atom_site_fract_z
_atom_site_occupancy
Ca1 Ca 0.0000 0.2772 0.0000 1
Ca2 Ca 0.0000 0.6052 0.5000 1
Ca3 Ca 0.2772 0.0000 0.0000 1
Ca4 Ca 0.3948 0.3948 0.5000 1
Ca5 Ca 0.6052 0.0000 0.5000 1
Ca6 Ca 0.7228 0.7228 0.0000 1
C1 C 0.0000 0.0000 0.5000 1
C2 C 0.3333 0.6667 0.0000 1
C3 C 0.6667 0.3333 0.0000 1


# MgSbTeI2 PBE relaxed
# Space group: P4/mmm (123)
# Raw formation energy: 0.135 eV per atom
# V: 35.7 Å³/atom
# Magnetization: 0.7 μB/f.u.
# Mass density: 4.9 g/cm³
data_MgSbTeI2
_cell_length_a 5.4240
_cell_length_b 5.4240
_cell_length_c 6.0650
_cell_angle_alpha 90.00
_cell_angle_beta 90.00
_cell_angle_gamma 90.00
_space_group_name_H-M_alt 'P 1'
_space_group_IT_number 1
_space_group_name_Hall 'P 1'
loop_
_atom_site_label
_atom_site_type_symbol
_atom_site_fract_x
_atom_site_fract_y
_atom_site_fract_z
_atom_site_occupancy
Mg1 Mg 0.0000 0.0000 0.0000 1
Sb1 Sb 0.0000 0.0000 0.5000 1
Te1 Te 0.5000 0.5000 0.5000 1
I1 I 0.0000 0.5000 0.0000 1
I2 I 0.5000 0.0000 0.0000 1


# Zr3TlH PBE relaxed
# Space group: C2/m (12)
# V: 18.6 Å³/atom
# Magnetization: 0.0 μB/f.u.
# E_tot: -64.87 eV for the cell shown
# Mass density: 8.6 g/cm³
data_Zr3TlH
_cell_length_a 5.7317
_cell_length_b 5.7317
_cell_length_c 8.7835
_cell_angle_alpha 112.44
_cell_angle_beta 112.44
_cell_angle_gamma 45.07
_space_group_name_H-M_alt 'P 1'
_space_group_IT_number 1
_space_group_name_Hall 'P 1'
loop_
_atom_site_label
_atom_site_type_symbol
_atom_site_fract_x
_atom_site_fract_y
_atom_site_fract_z
_atom_site_occupancy
Zr1 Zr 0.0000 0.0000 0.0000 1
Zr2 Zr 0.0000 0.0000 0.5000 1
Zr3 Zr 0.2493 0.2493 0.3719 1
Zr4 Zr 0.2499 0.2499 0.8774 1
Zr5 Zr 0.7501 0.7501 0.1226 1
Zr6 Zr 0.7507 0.7507 0.6281 1
Tl1 Tl 0.4948 0.4948 0.2481 1
Tl2 Tl 0.5052 0.5052 0.7519 1
H1 H 0.2120 0.2120 0.6070 1
H2 H 0.7880 0.7880 0.3930 1